Tm6HgSe3S2 after structural relaxation. Source: Alexandria via LeMat-Bulk, functional GGA-PBE.

Values from the calculation:
The crystal system is monoclinic.

Cell and atoms, written as POSCAR:
```
Tm6HgSe3S2
1.0
3.899 0.000 0.000
0.000 8.253 0.274
-1.950 -2.399 8.436
Tm Se S Hg
6 3 2 1
Direct
0.006 0.258 0.011
0.329 0.429 0.658
0.671 0.571 0.342
0.332 0.900 0.663
0.994 0.742 0.989
0.668 0.100 0.337
0.167 0.830 0.334
0.833 0.170 0.666
0.500 0.500 0.000
0.170 0.339 0.340
0.830 0.661 0.660
0.500 0.000 0.000
```

=====

Y4HgSe2S after structural relaxation. Source: Alexandria via LeMat-Bulk, functional GGA-PBE.

Values from the calculation:
The crystal system is monoclinic.

Cell and atoms, written as POSCAR:
```
Y4HgSe2S
1.0
-3.118 -2.214 -1.219
3.650 -1.898 -5.892
3.699 -6.007 1.449
Se Y S Hg
2 4 1 1
Direct
0.500 0.000 0.500
0.000 0.000 0.000
0.000 0.740 0.762
0.500 0.248 0.759
0.000 0.260 0.238
0.500 0.752 0.241
0.500 0.500 0.000
0.000 0.500 0.500
```

=====

YHgSe2S after structural relaxation. Source: Alexandria via LeMat-Bulk, functional GGA-PBE.

Values from the calculation:
The crystal system is tetragonal.

Cell and atoms, written as POSCAR:
```
YHgSe2S
1.0
-3.889 -2.378 -1.923
2.584 -0.891 -4.124
1.686 -4.376 2.002
Hg Y Se S
1 1 2 1
Direct
0.000 0.000 0.500
0.500 0.500 0.500
0.500 0.000 0.000
0.000 0.500 0.000
0.000 0.000 0.000
```

=====

ZnHgSeS after structural relaxation. Source: Alexandria via LeMat-Bulk, functional GGA-PBE.

Values from the calculation:
The crystal system is monoclinic.

Cell and atoms, written as POSCAR:
```
ZnHgSeS
1.0
4.143 -0.002 -0.009
-2.069 3.589 0.009
-2.056 -1.205 6.774
S Se Zn Hg
1 1 1 1
Direct
0.443 0.106 0.548
0.469 0.618 0.087
0.213 0.990 0.203
0.205 0.487 0.692
```

=====

Si2HgS after structural relaxation. Source: Alexandria via LeMat-Bulk, functional GGA-PBE.

Values from the calculation:
The distance to the lowest polymorph of the same formula is 334 meV per atom. The crystal system is cubic.

Cell and atoms, written as POSCAR:
```
Si2HgS
1.0
0.000 3.334 3.334
3.334 0.000 3.334
3.334 3.334 0.000
S Si Hg
1 2 1
Direct
0.000 0.000 0.000
0.750 0.750 0.750
0.250 0.250 0.250
0.500 0.500 0.500
```

=====

SiHg4S5 after structural relaxation. Source: Alexandria via LeMat-Bulk, functional GGA-PBE.

Values from the calculation:
The crystal system is tetragonal.

Cell and atoms, written as POSCAR:
```
SiHg4S5
1.0
5.837 0.000 0.000
2.919 6.182 0.000
2.919 0.000 6.182
Hg S Si
4 5 1
Direct
0.398 0.403 0.827
0.801 0.827 0.597
0.628 0.597 0.173
0.225 0.173 0.403
0.735 0.195 0.313
0.930 0.313 0.805
0.048 0.687 0.195
0.243 0.805 0.687
0.444 0.000 0.000
0.058 0.000 0.000
```

=====

SiHgS2 after structural relaxation. Source: Alexandria via LeMat-Bulk, functional GGA-PBE.

Values from the calculation:
The crystal system is trigonal.

Cell and atoms, written as POSCAR:
```
SiHgS2
1.0
2.693 0.000 9.676
-1.346 2.332 9.676
-1.346 -2.332 9.676
Si S Hg
1 2 1
Direct
0.000 0.000 0.000
0.067 0.067 0.067
0.933 0.933 0.933
0.500 0.500 0.500
```

=====

Si2HgS after structural relaxation. Source: Alexandria via LeMat-Bulk, functional GGA-PBE.

Values from the calculation:
The distance to the lowest polymorph of the same formula is 0 meV per atom. The crystal system is tetragonal.

Cell and atoms, written as POSCAR:
```
Si2HgS
1.0
-3.956 3.779 -1.658
-2.007 -3.769 -3.801
-6.576 -2.037 1.193
S Hg Si
2 2 4
Direct
0.500 0.500 0.000
0.250 0.750 0.500
0.750 0.250 0.500
0.000 0.000 0.000
0.375 0.394 0.750
0.606 0.125 0.250
0.875 0.856 0.750
0.144 0.625 0.250
```

=====

In the order shown, the computed magnetic moment values come out to 0.00; 0.00; 0.00; 0.00; 0.00; 0.00; 0.00; 0.00 μB per cell.
In the order shown, the computed raw formation energy values come out to -35.169; -34.010; -2.262; -10.037; 15.965; -1.018; 3.447; 8.268 kcal/mol of atoms.
In the order shown, the computed E_tot values come out to -64.14; -49.05; -18.35; -10.93; -12.51; -27.71; -13.38; -13.84 eV per formula unit.